The following is a PBE-GGA calculation of a geometry-optimized PmSn2Au structure, from Alexandria via LeMat-Bulk.

Results
* DOS at the Fermi energy: 2.4 states/eV/f.u.
* mass density: 9.843 Mg/m³
* total DFT energy (no corrections): -4.58 eV/atom
* magnetic moment: 0.0 μB per formula unit
* ΔH_f (0 K): -0.571 eV per atom
* space group: P4/mmm
* volume: 98 Å³/cell

Unit cell a=4.6714 b=4.6714 c=4.4792 alpha=90.00 beta=90.00 gamma=90.00
Last column: nearest neighbours and their distance in Å.
Fractional positions:
Pm  0.0000  0.0000  0.0000  8 Sn 3.24, 4 Au 3.30
Sn  0.0000  0.5000  0.5000  4 Pm 3.24, 4 Au 3.24, 4 Sn 3.30
Sn  0.5000  0.0000  0.5000  4 Pm 3.24, 4 Au 3.24, 4 Sn 3.30
Au  0.5000  0.5000  0.0000  8 Sn 3.24, 4 Pm 3.30